## Pu2ZnGe3Au4 (PBE)

Data for an optimized crystal structure of Pu2ZnGe3Au4.

## Properties
N(E_F) (states/eV/f.u.): 29.86
ΔE_f (eV/atom): -0.32

Cell: 4.342 4.342 10.946 Å, 90.00 90.00 90.00°
Element x y z (fractional)
Pu 0.000 0.500 0.242
Pu 0.500 0.000 0.758
Zn 0.000 0.000 0.500
Ge 0.000 0.500 0.860
Ge 0.500 0.000 0.140
Ge 0.500 0.500 0.500
Au 0.000 0.000 0.000
Au 0.000 0.500 0.632
Au 0.500 0.000 0.368
Au 0.500 0.500 0.000

=====

## NiPtCl2 (PBE)

Data for an optimized crystal structure of NiPtCl2.

## Properties
E_form (uncorrected) (eV/atom): -0.2196

Cell: 5.996 3.462 7.988 Å, 90.00 104.20 90.00°
Element x y z (fractional)
Ni 0.000 0.000 0.000
Ni 0.500 0.500 0.000
Pt 0.396 0.000 0.192
Pt 0.896 0.500 0.192
Cl 0.116 0.500 0.845
Cl 0.291 0.500 0.381
Cl 0.616 0.000 0.845
Cl 0.791 0.000 0.381

=====

## KBa2Eu (PBE)

Data for an optimized crystal structure of KBa2Eu.

## Properties
N(E_F) (states/eV/f.u.): 5.27
ΔE_f (eV/atom): 0.12

Cell: 7.162 7.162 4.673 Å, 90.00 90.00 90.00°
Element x y z (fractional)
K 0.000 0.000 0.000
Ba 0.000 0.500 0.500
Ba 0.500 0.000 0.500
Eu 0.500 0.500 0.000

=====

## PmPr10Sc4 (PBE)

Data for an optimized crystal structure of PmPr10Sc4.

## Properties
N(E_F) (states/eV/f.u.): 16.84
ΔE_f (eV/atom): 0.51

Cell: 9.063 9.063 9.063 Å, 101.05 101.05 128.08°
Element x y z (fractional)
Pm 0.000 0.000 0.000
Pr 0.033 0.908 0.352
Pr 0.092 0.444 0.125
Pr 0.250 0.750 0.500
Pr 0.319 0.967 0.875
Pr 0.444 0.319 0.352
Pr 0.556 0.681 0.648
Pr 0.681 0.033 0.125
Pr 0.750 0.250 0.500
Pr 0.908 0.556 0.875
Pr 0.967 0.092 0.648
Sc 0.296 0.569 0.865
Sc 0.431 0.296 0.727
Sc 0.569 0.704 0.273
Sc 0.704 0.431 0.135

=====

- What is the formula in the third record?
  KBa2Eu

=====

- Which formula does entry 4 have?
  PmPr10Sc4